DFT (PBE) results for a geometry-optimized YScBiSe structure.

Calculated values
For the formation energy without anion corrections, the calculation gives -1.173 eV/atom. As for the density of states at the Fermi level: 0.76 states/eV per atom. The electronic total energy comes out at -6.2128 eV per atom.

Cell lengths 4.092, 4.092, 7.529 Å; angles 90.00, 105.77, 120.00 degrees
Positions (direct):
Bi  0.481  0.139  0.635
Y  0.953  0.375  0.343
Se  0.122  0.959  0.096
Sc  0.322  0.559  0.896

DFT (PBE) results for a geometry-optimized YOsPd2Br structure.

Calculated values
For the formation energy without anion corrections, the calculation gives 0.880 eV/atom. As for the density of states at the Fermi level: 0.61 states/eV per atom. The electronic total energy comes out at -5.0709 eV per atom.

Cell lengths 4.663, 5.273, 4.663 Å; angles 90.00, 90.00, 90.00 degrees
Last column: magnetic moment on the atom in μB.
Positions (direct):
Y  0.000  0.500  0.000  -0.13
Pd  0.000  0.000  0.500  0.08
Br  0.000  0.000  0.000  0.02
Pd  0.500  0.000  0.000  0.14
Os  0.500  0.500  0.500  1.94

DFT (PBE) results for a geometry-optimized In2CuAuSe4 structure.

Calculated values
For the formation energy without anion corrections, the calculation gives -0.372 eV/atom. As for the density of states at the Fermi level: 0.12 states/eV per atom. The electronic total energy comes out at -3.7204 eV per atom.

Cell lengths 6.026, 6.026, 7.317 Å; angles 114.30, 114.30, 90.03 degrees
Positions (direct):
Se  0.851  0.380  0.231
Se  0.149  0.149  0.769
Au  0.001  0.001  0.002
Se  0.620  0.620  0.769
In  0.750  0.250  0.500
Cu  0.500  0.500  0.000
Se  0.380  0.851  0.231
In  0.250  0.750  0.500